# 1
# Hf6Si2N, optimized geometry, DFT GGA-PBE
data_Hf6Si2N
_cell_length_a 5.746
_cell_length_b 5.746
_cell_length_c 10.985
_cell_angle_alpha 90.00
_cell_angle_beta 90.00
_cell_angle_gamma 90.00
_symmetry_space_group_name_H-M 'P 1'
_symmetry_Int_Tables_number 1
loop_
_symmetry_equiv_pos_as_xyz
'x,y,z'
loop_
_atom_site_label
_atom_site_type_symbol
_atom_site_fract_x
_atom_site_fract_y
_atom_site_fract_z
_atom_site_occupancy
Hf1 Hf 0.220 0.780 0.500 1
Hf2 Hf 0.780 0.220 0.500 1
Hf3 Hf 0.720 0.720 0.000 1
Hf4 Hf 0.808 0.192 0.854 1
Hf5 Hf 0.192 0.808 0.854 1
Hf6 Hf 0.692 0.692 0.354 1
Hf7 Hf 0.808 0.192 0.146 1
Hf8 Hf 0.280 0.280 0.000 1
Hf9 Hf 0.308 0.308 0.646 1
Hf10 Hf 0.192 0.808 0.146 1
Hf11 Hf 0.308 0.308 0.354 1
Hf12 Hf 0.692 0.692 0.646 1
Si1 Si 0.500 0.500 0.830 1
Si2 Si 0.000 0.000 0.330 1
Si3 Si 0.000 0.000 0.670 1
Si4 Si 0.500 0.500 0.170 1
N1 N 0.500 0.500 0.500 1
N2 N 0.000 0.000 0.000 1
# total magnetization: 0.0 Bohr magnetons per cell
# V: 20.15 Å³ per atom
# DOS(E_F): 12.74 states/eV per cell
# calculated total energy: -9.182 eV/atom
# raw formation energy: -416 meV per atom


# 2
# Hf8Si2N3, optimized geometry, DFT GGA-PBE
data_Hf8Si2N3
_cell_length_a 5.851
_cell_length_b 6.549
_cell_length_c 7.032
_cell_angle_alpha 117.75
_cell_angle_beta 104.57
_cell_angle_gamma 90.00
_symmetry_space_group_name_H-M 'P 1'
_symmetry_Int_Tables_number 1
loop_
_symmetry_equiv_pos_as_xyz
'x,y,z'
loop_
_atom_site_label
_atom_site_type_symbol
_atom_site_fract_x
_atom_site_fract_y
_atom_site_fract_z
_atom_site_occupancy
Hf1 Hf 0.073 0.399 0.799 1
Hf2 Hf 0.606 0.650 0.800 1
Hf3 Hf 0.606 0.150 0.800 1
Hf4 Hf 0.927 0.601 0.201 1
Hf5 Hf 0.110 0.898 0.797 1
Hf6 Hf 0.394 0.350 0.200 1
Hf7 Hf 0.394 0.850 0.200 1
Hf8 Hf 0.890 0.102 0.203 1
N1 N 0.000 0.233 0.000 1
N2 N 0.000 0.767 0.000 1
N3 N 0.500 0.000 0.000 1
Si1 Si 0.690 0.748 0.495 1
Si2 Si 0.310 0.252 0.505 1
# total magnetization: 0.0 Bohr magnetons per cell
# V: 17.58 Å³ per atom
# DOS(E_F): 7.94 states/eV per cell
# calculated total energy: -9.691 eV/atom
# raw formation energy: -810 meV per atom


# 3
# HfSiTeN2, optimized geometry, DFT GGA-PBE
data_HfSiTeN2
_cell_length_a 4.122
_cell_length_b 4.122
_cell_length_c 5.946
_cell_angle_alpha 90.00
_cell_angle_beta 90.00
_cell_angle_gamma 90.00
_symmetry_space_group_name_H-M 'P 1'
_symmetry_Int_Tables_number 1
loop_
_symmetry_equiv_pos_as_xyz
'x,y,z'
loop_
_atom_site_label
_atom_site_type_symbol
_atom_site_fract_x
_atom_site_fract_y
_atom_site_fract_z
_atom_site_occupancy
Hf1 Hf 0.000 0.000 0.000 1
N1 N 0.000 0.500 0.000 1
N2 N 0.500 0.000 0.000 1
Si1 Si 0.500 0.500 0.500 1
Te1 Te 0.000 0.000 0.500 1
# total magnetization: 0.5 Bohr magnetons per cell
# V: 20.21 Å³ per atom
# distance to the lowest polymorph of the same formula: 0.000 eV/f.u.
# DOS(E_F): 4.00 states/eV per cell
# calculated total energy: -6.523 eV/atom
# raw formation energy: 511 meV per atom


# 4
# HfSiTeN2, optimized geometry, DFT GGA-PBE
data_HfSiTeN2
_cell_length_a 3.868
_cell_length_b 3.868
_cell_length_c 5.087
_cell_angle_alpha 90.00
_cell_angle_beta 90.00
_cell_angle_gamma 90.00
_symmetry_space_group_name_H-M 'P 1'
_symmetry_Int_Tables_number 1
loop_
_symmetry_equiv_pos_as_xyz
'x,y,z'
loop_
_atom_site_label
_atom_site_type_symbol
_atom_site_fract_x
_atom_site_fract_y
_atom_site_fract_z
_atom_site_occupancy
Si1 Si 0.000 0.000 0.000 1
Hf1 Hf 0.500 0.500 0.500 1
Te1 Te 0.000 0.000 0.500 1
N1 N 0.000 0.500 0.000 1
N2 N 0.500 0.000 0.000 1
# total magnetization: 0.0 Bohr magnetons per cell
# V: 15.22 Å³ per atom
# distance to the lowest polymorph of the same formula: 1.115 eV/f.u.
# DOS(E_F): 2.79 states/eV per cell
# calculated total energy: -6.300 eV/atom
# raw formation energy: 734 meV per atom